P) ## Ce2TeCl (PBE)

Data for an optimized crystal structure of Ce2TeCl.

Output
Volume   27.17 A^3/atom
Total magnetic moment   2.1 μB/f.u.

Cell: 4.2656 4.2656 20.6922 Å, 90.00 90.00 120.00°
Space group R-3m (No. 166, hexagonal axes)
Unique sites:
Ce: 0.0000 0.0000 0.2383 x6
Te: 0.0000 0.0000 0.0000 x3
Cl: 0.0000 0.0000 0.5000 x3

Q) ## Ce2TeCl (PBE)

Data for an optimized crystal structure of Ce2TeCl.

Output
Volume   26.52 A^3/atom
Total magnetic moment   3.3 μB/f.u.

Cell: 7.514 7.514 7.514 Å, 90.00 90.00 90.00°
Space group Fm-3m (No. 225)
Unique sites:
Ce: 0.250 0.250 0.250 x8
Te: 0.000 0.000 0.000 x4
Cl: 0.000 0.000 0.500 x4

R) ## Ce2TeCl (PBE)

Data for an optimized crystal structure of Ce2TeCl.

Output
Volume   26.19 A^3/atom
Total magnetic moment   3.0 μB/f.u.

Cell: 3.770 3.770 7.373 Å, 90.00 90.00 90.00°
Space group P4/mmm (No. 123)
Unique sites:
Ce: 0.000 0.000 0.249 x2
Te: 0.500 0.500 0.500 x1
Cl: 0.500 0.500 0.000 x1

S) ## Ce2TeCl (PBE)

Data for an optimized crystal structure of Ce2TeCl.

Output
Volume   28.36 A^3/atom
Total magnetic moment   3.0 μB/f.u.

Cell: 4.0380 4.0380 24.0975 Å, 90.00 90.00 120.00°
Space group R3m (No. 160, hexagonal axes)
Unique sites:
Ce: 0.0000 0.0000 0.0000 x3
Ce: 0.0000 0.0000 0.1619 x3
Te: 0.0000 0.0000 0.5813 x3
Cl: 0.0000 0.0000 0.4138 x3

The data favor P); the next most stable structure lies 118 meV/atom above it.

P) ## Ce2TlCl (PBE)

Data for an optimized crystal structure of Ce2TlCl.

Output
Volume   27.86 A^3/atom
Total magnetic moment   1.9 μB/f.u.

Cell: 4.0888 4.0888 23.0940 Å, 90.00 90.00 120.00°
Space group R-3m (No. 166, hexagonal axes)
Unique sites:
Ce: 0.0000 0.0000 0.2342 x6
Tl: 0.0000 0.0000 0.0000 x3
Cl: 0.0000 0.0000 0.5000 x3

Q) ## Ce2TlCl (PBE)

Data for an optimized crystal structure of Ce2TlCl.

Output
Volume   27.81 A^3/atom
Total magnetic moment   1.7 μB/f.u.

Cell: 3.9454 3.9454 24.7589 Å, 90.00 90.00 120.00°
Space group R3m (No. 160, hexagonal axes)
Unique sites:
Ce: 0.0000 0.0000 0.0000 x3
Ce: 0.0000 0.0000 0.1985 x3
Tl: 0.0000 0.0000 0.4321 x3
Cl: 0.0000 0.0000 0.5995 x3

The data favor P); the next most stable structure lies 39 meV/atom above it.

P) ## CeUCl6 (PBE)

Data for an optimized crystal structure of CeUCl6.

Output
Volume   35.23 A^3/atom
Total magnetic moment   4.0 μB/f.u.

Cell: 6.940 12.140 6.939 Å, 90.00 105.38 90.00°
Space group C2/m (No. 12)
Unique sites:
Ce: 0.000 0.000 0.000 x2
U: 0.000 0.500 0.500 x2
Cl: 0.244 0.352 0.746 x8
Cl: 0.249 0.500 0.254 x4

Q) ## CeUCl6 (PBE)

Data for an optimized crystal structure of CeUCl6.

Output
Volume   33.66 A^3/atom
Total magnetic moment   4.0 μB/f.u.

Cell: 6.9541 6.9541 19.2916 Å, 90.00 90.00 120.00°
Space group R-3 (No. 148, hexagonal axes)
Unique sites:
Ce: 0.0000 0.0000 0.0000 x3
U: 0.0000 0.0000 0.5000 x3
Cl: 0.0046 0.6508 0.2490 x18

The data favor Q); the next most stable structure lies 8 meV/atom above it.

P) ## CeZnCl6 (PBE)

Data for an optimized crystal structure of CeZnCl6.

Output
Volume   27.36 A^3/atom
Total magnetic moment   0.0 μB/f.u.

Cell: 6.5321 6.5321 17.7662 Å, 90.00 90.00 120.00°
Space group R-3 (No. 148, hexagonal axes)
Unique sites:
Ce: 0.0000 0.0000 0.0000 x3
Zn: 0.0000 0.0000 0.5000 x3
Cl: 0.0118 0.3654 0.2470 x18

Q) ## CeZnCl6 (PBE)

Data for an optimized crystal structure of CeZnCl6.

Output
Volume   29.91 A^3/atom
Total magnetic moment   0.0 μB/f.u.

Cell: 6.401 12.284 6.395 Å, 90.00 107.85 90.00°
Space group C2/m (No. 12)
Unique sites:
Ce: 0.000 0.000 0.000 x2
Zn: 0.000 0.500 0.500 x2
Cl: 0.231 0.358 0.732 x8
Cl: 0.249 0.500 0.252 x4

The data favor Q); the next most stable structure lies 10 meV/atom above it.

P) ## Ce2Dy3Co4 (PBE)

Data for an optimized crystal structure of Ce2Dy3Co4.

Output
Volume   20.63 A^3/atom
Total magnetic moment   0.0 μB/f.u.

Cell: 16.031 4.481 5.488 Å, 90.00 109.64 90.00°
Space group C2/m (No. 12)
Unique sites:
Ce: 0.164 0.000 0.161 x4
Dy: 0.000 0.500 0.000 x2
Dy: 0.122 0.500 0.619 x4
Co: 0.000 0.000 0.299 x4
Co: 0.214 0.500 0.211 x4

Q) ## Ce2Dy3Co4 (PBE)

Data for an optimized crystal structure of Ce2Dy3Co4.

Output
Volume   20.44 A^3/atom
Total magnetic moment   0.0 μB/f.u.

Cell: 10.777 3.973 8.735 Å, 90.00 100.38 90.00°
Space group C2/m (No. 12)
Unique sites:
Ce: 0.179 0.000 0.282 x4
Dy: 0.000 0.500 0.500 x2
Dy: 0.121 0.000 0.886 x4
Co: 0.090 0.500 0.117 x4
Co: 0.208 0.000 0.583 x4

The data favor Q); the next most stable structure lies 86 meV/atom above it.

P) ## CeDy3Co2 (PBE)

Data for an optimized crystal structure of CeDy3Co2.

Output
Volume   24.19 A^3/atom
Total magnetic moment   0.0 μB/f.u.

Cell: 16.602 3.688 11.627 Å, 90.00 125.36 90.00°
Space group C2/m (No. 12)
Unique sites:
Ce: 0.165 0.000 0.265 x4
Dy: 0.080 0.500 0.442 x4
Dy: 0.083 0.500 0.945 x4
Dy: 0.155 0.000 0.749 x4
Co: 0.234 0.000 0.049 x4
Co: 0.239 0.000 0.572 x4

Q) ## CeDy3Co2 (PBE)

Data for an optimized crystal structure of CeDy3Co2.

Output
Volume   25.24 A^3/atom
Total magnetic moment   0.0 μB/f.u.

Cell: 16.603 3.843 10.691 Å, 90.00 117.40 90.00°
Space group C2/m (No. 12)
Unique sites:
Ce: 0.091 0.000 0.159 x4
Dy: 0.049 0.500 0.739 x4
Dy: 0.164 0.000 0.517 x4
Dy: 0.244 0.500 0.124 x4
Co: 0.116 0.000 0.961 x4
Co: 0.137 0.500 0.321 x4

The data favor P); the next most stable structure lies 55 meV/atom above it.

P) ## Ce2DyCo (PBE)

Data for an optimized crystal structure of Ce2DyCo.

Output
Volume   24.29 A^3/atom
Total magnetic moment   0.0 μB/f.u.

Cell: 6.785 9.451 6.062 Å, 90.00 90.00 90.00°
Space group Pnma (No. 62)
Unique sites:
Ce: 0.156 0.062 0.138 x8
Dy: 0.054 0.250 0.628 x4
Co: 0.093 0.750 0.878 x4

Q) ## Ce2DyCo (PBE)

Data for an optimized crystal structure of Ce2DyCo.

Output
Volume   24.40 A^3/atom
Total magnetic moment   0.0 μB/f.u.

Cell: 3.531 3.531 7.830 Å, 90.00 90.00 90.00°
Space group P4/mmm (No. 123)
Unique sites:
Ce: 0.000 0.000 0.182 x2
Dy: 0.500 0.500 0.500 x1
Co: 0.500 0.500 0.000 x1

The data favor P); the next most stable structure lies 139 meV/atom above it.

P) ## Ce2DyCo (PBE)

Data for an optimized crystal structure of Ce2DyCo.

Output
Volume   24.06 A^3/atom
Total magnetic moment   0.0 μB/f.u.

Cell: 3.566 9.537 5.932 Å, 90.00 107.41 90.00°
Space group P2_1/m (No. 11)
Unique sites:
Ce: 0.140 0.063 0.279 x4
Dy: 0.414 0.250 0.828 x2
Co: 0.304 0.750 0.609 x2

Q) ## Ce2DyCo (PBE)

Data for an optimized crystal structure of Ce2DyCo.

Output
Volume   26.21 A^3/atom
Total magnetic moment   0.1 μB/f.u.

Cell: 3.6997 3.6997 26.5319 Å, 90.00 90.00 120.00°
Space group R3m (No. 160, hexagonal axes)
Unique sites:
Ce: 0.0000 0.0000 0.0000 x3
Ce: 0.0000 0.0000 0.2126 x3
Dy: 0.0000 0.0000 0.4387 x3
Co: 0.0000 0.0000 0.6061 x3

R) ## Ce2DyCo (PBE)

Data for an optimized crystal structure of Ce2DyCo.

Output
Volume   23.95 A^3/atom
Total magnetic moment   0.9 μB/f.u.

Cell: 5.4487 5.4487 11.1757 Å, 90.00 90.00 120.00°
Space group R-3m (No. 166, hexagonal axes)
Unique sites:
Ce: 0.0000 0.0000 0.2190 x6
Dy: 0.0000 0.0000 0.5000 x3
Co: 0.0000 0.0000 0.0000 x3

The data favor P); the next most stable structure lies 127 meV/atom above it.

P) ## Ce2DyCo2 (PBE)

Data for an optimized crystal structure of Ce2DyCo2.

Output
Volume   20.50 A^3/atom
Total magnetic moment   0.0 μB/f.u.

Cell: 7.684 6.490 5.298 Å, 90.00 129.12 90.00°
Space group C2/m (No. 12)
Unique sites:
Ce: 0.000 0.228 0.000 x4
Dy: 0.000 0.500 0.500 x2
Co: 0.194 0.000 0.700 x4

Q) ## Ce2DyCo2 (PBE)

Data for an optimized crystal structure of Ce2DyCo2.

Output
Volume   21.53 A^3/atom
Total magnetic moment   0.0 μB/f.u.

Cell: 15.169 3.651 9.517 Å, 90.00 125.20 90.00°
Space group C2/m (No. 12)
Unique sites:
Ce: 0.089 0.000 0.437 x4
Ce: 0.138 0.500 0.164 x4
Dy: 0.154 0.500 0.816 x4
Co: 0.056 0.000 0.933 x4
Co: 0.224 0.500 0.570 x4

The data favor Q); the next most stable structure lies 107 meV/atom above it.

P) ## Ce2ErCo2 (PBE)

Data for an optimized crystal structure of Ce2ErCo2.

Output
Volume   20.95 A^3/atom
Total magnetic moment   0.0 μB/f.u.

Cell: 4.520 6.442 7.849 Å, 90.65 102.50 109.46°
Space group P-1 (No. 2)
Unique sites:
Ce: 0.000 0.085 0.339 x2
Ce: 0.227 0.783 0.106 x2
Er: 0.312 0.499 0.672 x2
Co: 0.300 0.302 0.004 x2
Co: 0.375 0.797 0.420 x2

Q) ## Ce2ErCo2 (PBE)

Data for an optimized crystal structure of Ce2ErCo2.

Output
Volume   20.36 A^3/atom
Total magnetic moment   0.0 μB/f.u.

Cell: 7.836 6.509 5.245 Å, 90.00 130.43 90.00°
Space group C2/m (No. 12)
Unique sites:
Ce: 0.000 0.227 0.000 x4
Er: 0.000 0.500 0.500 x2
Co: 0.195 0.000 0.697 x4

The data favor P); the next most stable structure lies 129 meV/atom above it.

P) ## CeErCoRu (PBE)

Data for an optimized crystal structure of CeErCoRu.

Output
Volume   19.40 A^3/atom
Total magnetic moment   0.5 μB/f.u.

Cell: 6.771 6.771 6.771 Å, 90.00 90.00 90.00°
Space group F-43m (No. 216)
Unique sites:
Ce: 0.000 0.000 0.000 x4
Er: 0.000 0.000 0.500 x4
Co: 0.250 0.250 0.750 x4
Ru: 0.250 0.250 0.250 x4

Q) ## CeErCoRu (PBE)

Data for an optimized crystal structure of CeErCoRu.

Output
Volume   19.19 A^3/atom
Total magnetic moment   0.1 μB/f.u.

Cell: 3.367 3.367 6.768 Å, 90.00 90.00 90.00°
Space group P4mm (No. 99)
Unique sites:
Ce: 0.000 0.000 0.000 x1
Er: 0.000 0.000 0.487 x1
Co: 0.500 0.500 0.213 x1
Ru: 0.500 0.500 0.751 x1

The data favor Q); the next most stable structure lies 25 meV/atom above it.